*1*
Computed, not measured: a geometry-optimized Tb2URu3 structure at the PBE level of DFT.

a b c (Å): 10.974 3.989 6.854
angles (deg): 90.00 119.39 90.00
Space group Cm (No. 8)
One atom of each set of equivalent atoms:
Tb: 0.000 0.000 0.000 x2
Tb: 0.169 0.000 0.641 x2
U: 0.348 0.000 0.290 x2
Ru: 0.241 0.500 0.020 x2
Ru: 0.264 0.500 0.442 x2
Ru: 0.476 0.000 0.680 x2

Output
magnetic moment	0.0	μB per formula unit
DOS at the Fermi energy	8.99	states/eV/cell
mass density	10.914	g/cm³

---

*2*
Computed, not measured: a geometry-optimized Tb2URu3 structure at the PBE level of DFT.

a b c (Å): 13.440 5.575 6.926
angles (deg): 90.00 106.61 90.00
Space group C2/c (No. 15)
One atom of each set of equivalent atoms:
Tb: 0.205 0.004 0.102 x8
U: 0.000 0.236 0.250 x4
Ru: 0.000 0.169 0.750 x4
Ru: 0.110 0.485 0.548 x8

Output
magnetic moment	0.0	μB per formula unit
DOS at the Fermi energy	13.00	states/eV/cell
mass density	11.474	g/cm³

---

Which is the most stable structure? *2* is the most stable.

---

*1*
Computed, not measured: a geometry-optimized TbYRu structure at the PBE level of DFT.

a b c (Å): 6.781 6.781 6.781
angles (deg): 90.00 90.00 90.00
Space group F-43m (No. 216)
One atom of each set of equivalent atoms:
Tb: 0.000 0.000 0.000 x4
Y: 0.000 0.000 0.500 x4
Ru: 0.250 0.250 0.750 x4

Output
magnetic moment	0.0	μB per formula unit
DOS at the Fermi energy	7.09	states/eV/cell
mass density	7.433	g/cm³

---

*2*
Computed, not measured: a geometry-optimized TbYRu structure at the PBE level of DFT.

a b c (Å): 8.365 4.846 7.769
angles (deg): 90.00 110.96 90.00
Space group C2/m (No. 12)
One atom of each set of equivalent atoms:
Tb: 0.125 0.000 0.373 x4
Y: 0.208 0.500 0.123 x4
Ru: 0.063 0.500 0.690 x4

Output
magnetic moment	0.0	μB per formula unit
DOS at the Fermi energy	7.40	states/eV/cell
mass density	7.881	g/cm³

---

Which is the most stable structure? *1* is the most stable.

---

*1*
Computed, not measured: a geometry-optimized Tb3YRu2 structure at the PBE level of DFT.

a b c (Å): 4.389 8.848 7.497
angles (deg): 90.00 90.00 90.00
Space group Pmc2_1 (No. 26)
One atom of each set of equivalent atoms:
Tb: 0.000 0.085 0.000 x2
Tb: 0.000 0.321 0.370 x2
Tb: 0.500 0.179 0.666 x2
Y: 0.500 0.416 0.035 x2
Ru: 0.000 0.359 0.765 x2
Ru: 0.500 0.141 0.270 x2

Output
magnetic moment	0.0	μB per formula unit
DOS at the Fermi energy	6.17	states/eV/cell
mass density	8.757	g/cm³

---

*2*
Computed, not measured: a geometry-optimized Tb3YRu2 structure at the PBE level of DFT.

a b c (Å): 6.737 13.536 7.059
angles (deg): 90.00 90.00 90.00
Space group Ibam (No. 72)
One atom of each set of equivalent atoms:
Tb: 0.000 0.000 0.250 x4
Tb: 0.000 0.265 0.250 x8
Y: 0.000 0.500 0.000 x4
Ru: 0.221 0.135 0.000 x8

Output
magnetic moment	0.0	μB per formula unit
DOS at the Fermi energy	9.52	states/eV/cell
mass density	7.923	g/cm³

---

Which is the most stable structure? *1* is the most stable.